No. 1
## NaLi5N2 (GGA-PBEsol)

Data for NaLi5N2 after structural relaxation.

Cell and atoms, written as CIF:
```
data_NaLi5N2
_symmetry_space_group_name_H-M 'P 1 m 1'
_symmetry_Int_Tables_number 6
_cell_length_a 3.8088
_cell_length_b 3.5910
_cell_length_c 7.3071
_cell_angle_alpha 90.00
_cell_angle_beta 102.63
_cell_angle_gamma 90.00
loop_
_symmetry_equiv_pos_as_xyz
'x,y,z'
'x,-y,z'
loop_
_atom_site_label
_atom_site_type_symbol
_atom_site_fract_x
_atom_site_fract_y
_atom_site_fract_z
Na1 Na 0.0000 0.0000 0.0000
Li1 Li 0.2159 0.0000 0.3685
Li2 Li 0.3882 0.5000 0.7705
Li3 Li 0.6207 0.5000 0.1892
Li4 Li 0.7716 0.5000 0.4819
Li5 Li 0.8346 0.0000 0.6583
N1 N 0.6955 0.0000 0.3218
N2 N 0.8854 0.5000 0.7634
```

Calculated values
Crystal system ... monoclinic
Formation energy (no corrections) ... -0.291 eV per atom
Energy ... -3.8265 eV per atom



No. 2
## Te2MoSN (GGA-PBEsol)

Data for Te2MoSN after structural relaxation.

Cell and atoms, written as CIF:
```
data_Te2MoSN
_symmetry_space_group_name_H-M 'P 4/m m m'
_symmetry_Int_Tables_number 123
_symmetry_space_group_name_Hall '-P 4 2'
_cell_length_a 5.2646
_cell_length_b 5.2646
_cell_length_c 3.7554
_cell_angle_alpha 90.00
_cell_angle_beta 90.00
_cell_angle_gamma 90.00
loop_
_atom_site_label
_atom_site_type_symbol
_atom_site_fract_x
_atom_site_fract_y
_atom_site_fract_z
Te1 Te 0.0000 0.5000 0.0000
Mo1 Mo 0.0000 0.0000 0.0000
S1 S 0.5000 0.5000 0.5000
N1 N 0.0000 0.0000 0.5000
```

Calculated values
Crystal system ... tetragonal
Formation energy (no corrections) ... 0.350 eV per atom
Fermi-level density of states ... 2.60 states/eV per cell
Energy ... -5.9966 eV per atom



No. 3
## Ta2NiPt (GGA-PBEsol)

Data for Ta2NiPt after structural relaxation.

Cell and atoms, written as CIF:
```
data_Ta2NiPt
_symmetry_space_group_name_H-M 'C m m m'
_symmetry_Int_Tables_number 65
_symmetry_space_group_name_Hall '-C 2 2'
_cell_length_a 5.4599
_cell_length_b 7.9423
_cell_length_c 2.7672
_cell_angle_alpha 90.00
_cell_angle_beta 90.00
_cell_angle_gamma 90.00
loop_
_atom_site_label
_atom_site_type_symbol
_atom_site_fract_x
_atom_site_fract_y
_atom_site_fract_z
Ta1 Ta 0.2500 0.2500 0.0000
Ni1 Ni 0.0000 0.0000 0.5000
Pt1 Pt 0.0000 0.5000 0.5000
```

Calculated values
Crystal system ... orthorhombic
Fermi-level density of states ... 5.69 states/eV per cell
Energy ... -9.9540 eV per atom



No. 4
## TaNiOs2 (GGA-PBEsol)

Data for TaNiOs2 after structural relaxation.

Cell and atoms, written as CIF:
```
data_TaNiOs2
_symmetry_space_group_name_H-M 'P 4/m m m'
_symmetry_Int_Tables_number 123
_symmetry_space_group_name_Hall '-P 4 2'
_cell_length_a 3.8303
_cell_length_b 3.8303
_cell_length_c 3.7871
_cell_angle_alpha 90.00
_cell_angle_beta 90.00
_cell_angle_gamma 90.00
loop_
_atom_site_label
_atom_site_type_symbol
_atom_site_fract_x
_atom_site_fract_y
_atom_site_fract_z
Ta1 Ta 0.0000 0.0000 0.0000
Ni1 Ni 0.5000 0.5000 0.0000
Os1 Os 0.0000 0.5000 0.5000
```

Calculated values
Crystal system ... tetragonal
Fermi-level density of states ... 3.27 states/eV per cell
Energy ... -10.9956 eV per atom



No. 5
## Li2InIr (GGA-PBEsol)

Data for Li2InIr after structural relaxation.

Cell and atoms, written as CIF:
```
data_Li2InIr
_symmetry_space_group_name_H-M 'I 4/m m m'
_symmetry_Int_Tables_number 139
_symmetry_space_group_name_Hall '-I 4 2'
_cell_length_a 3.8785
_cell_length_b 3.8785
_cell_length_c 7.8635
_cell_angle_alpha 90.00
_cell_angle_beta 90.00
_cell_angle_gamma 90.00
loop_
_atom_site_label
_atom_site_type_symbol
_atom_site_fract_x
_atom_site_fract_y
_atom_site_fract_z
Li1 Li 0.0000 0.5000 0.2500
In1 In 0.0000 0.0000 0.0000
Ir1 Ir 0.0000 0.0000 0.5000
```

Calculated values
Crystal system ... tetragonal
Fermi-level density of states ... 2.91 states/eV per cell
Energy ... -4.3664 eV per atom



No. 6
## MnMoSe2 (GGA-PBEsol)

Data for MnMoSe2 after structural relaxation.

Cell and atoms, written as CIF:
```
data_MnMoSe2
_symmetry_space_group_name_H-M 'P 4 m m'
_symmetry_Int_Tables_number 99
_cell_length_a 2.9405
_cell_length_b 2.9405
_cell_length_c 7.6340
_cell_angle_alpha 90.00
_cell_angle_beta 90.00
_cell_angle_gamma 90.00
loop_
_symmetry_equiv_pos_as_xyz
'x,y,z'
'-y,x,z'
'-x,-y,z'
'y,-x,z'
'-x,y,z'
'y,x,z'
'x,-y,z'
'-y,-x,z'
loop_
_atom_site_label
_atom_site_type_symbol
_atom_site_fract_x
_atom_site_fract_y
_atom_site_fract_z
Mn1 Mn 0.0000 0.0000 0.0000
Mo1 Mo 0.5000 0.5000 0.2342
Se1 Se 0.0000 0.0000 0.4312
Se2 Se 0.5000 0.5000 0.8404
```

Calculated values
Crystal system ... tetragonal
Formation energy (no corrections) ... -0.146 eV per atom
Fermi-level density of states ... 2.50 states/eV per cell
Energy ... -7.4535 eV per atom
E above lowest polymorph ... 0.113 eV/atom



No. 7
## CdAgRh2 (GGA-PBEsol)

Data for CdAgRh2 after structural relaxation.

Cell and atoms, written as CIF:
```
data_CdAgRh2
_symmetry_space_group_name_H-M 'P 4 m m'
_symmetry_Int_Tables_number 99
_cell_length_a 2.7948
_cell_length_b 2.7948
_cell_length_c 7.9160
_cell_angle_alpha 90.00
_cell_angle_beta 90.00
_cell_angle_gamma 90.00
loop_
_symmetry_equiv_pos_as_xyz
'x,y,z'
'-y,x,z'
'-x,-y,z'
'y,-x,z'
'-x,y,z'
'y,x,z'
'x,-y,z'
'-y,-x,z'
loop_
_atom_site_label
_atom_site_type_symbol
_atom_site_fract_x
_atom_site_fract_y
_atom_site_fract_z
Cd1 Cd 0.0000 0.0000 0.0000
Ag1 Ag 0.5000 0.5000 0.7248
Rh1 Rh 0.0000 0.0000 0.4699
Rh2 Rh 0.5000 0.5000 0.2573
```

Calculated values
Crystal system ... tetragonal
Fermi-level density of states ... 3.80 states/eV per cell
Energy ... -5.1488 eV per atom



No. 8
## CoNi2Rh (GGA-PBEsol)

Data for CoNi2Rh after structural relaxation.

Cell and atoms, written as CIF:
```
data_CoNi2Rh
_symmetry_space_group_name_H-M 'P m m m'
_symmetry_Int_Tables_number 47
_cell_length_a 2.5322
_cell_length_b 3.5596
_cell_length_c 5.0367
_cell_angle_alpha 90.00
_cell_angle_beta 90.00
_cell_angle_gamma 90.00
loop_
_symmetry_equiv_pos_as_xyz
'x,y,z'
'-x,-y,-z'
'-x,-y,z'
'x,y,-z'
'x,-y,-z'
'-x,y,z'
'-x,y,-z'
'x,-y,z'
loop_
_atom_site_label
_atom_site_type_symbol
_atom_site_fract_x
_atom_site_fract_y
_atom_site_fract_z
Co1 Co 0.0000 0.0000 0.0000
Ni1 Ni 0.5000 0.5000 0.2384
Rh1 Rh 0.0000 0.0000 0.5000
```

Calculated values
Crystal system ... orthorhombic
Fermi-level density of states ... 5.21 states/eV per cell
Energy ... -6.9894 eV per atom
E above lowest polymorph ... 0.021 eV/atom